Density functional theory data (PBE) for crystalline Sr3EuZn at its relaxed geometry.

The structure belongs to space group Pm-3m (No. 221); the cell edges are 6.234, 6.234 and 6.234 Å and the angles 90.00°, 90.00° and 90.00°. The distinct sites, in fractional coordinates, are Sr at (0.000, 0.000, 0.500), Eu at (0.500, 0.500, 0.500) and Zn at (0.000, 0.000, 0.000).

The total DFT energy (no corrections) comes out at -16.4 eV for the cell shown. Its spin magnetization is 1.5863 μB/atom. Its crystal system is cubic.